No. 1
## CrCu2Pt (GGA-PBEsol)

Data for a relaxed CrCu2Pt crystal.

Cell and atoms, written as CIF:
```
data_CrCu2Pt
_chemical_formula_sum 'Cr2 Cu4 Pt2'
_symmetry_space_group_name_H-M 'I -4 m 2'
_symmetry_Int_Tables_number 119
_symmetry_space_group_name_Hall 'I -4 -2'
_cell_length_a 3.7049
_cell_length_b 3.7049
_cell_length_c 7.4046
_cell_angle_alpha 90.00
_cell_angle_beta 90.00
_cell_angle_gamma 90.00
loop_
_atom_site_label
_atom_site_fract_x
_atom_site_fract_y
_atom_site_fract_z
Cr1 0.0000 0.0000 0.0000
Cu1 0.0000 0.0000 0.5000
Cu2 0.0000 0.5000 0.2500
Pt1 0.0000 0.5000 0.7500
```

Values from the calculation:
spin magnetization	0.7492	μB per atom
calculated formation energy	0.04	eV per formula unit

---

No. 2
## CrCu2Pt (GGA-PBEsol)

Data for a relaxed CrCu2Pt crystal.

Cell and atoms, written as CIF:
```
data_CrCu2Pt
_chemical_formula_sum 'Cr2 Cu4 Pt2'
_symmetry_space_group_name_H-M 'C m m m'
_symmetry_Int_Tables_number 65
_symmetry_space_group_name_Hall '-C 2 2'
_cell_length_a 2.6991
_cell_length_b 4.3216
_cell_length_c 8.6551
_cell_angle_alpha 90.00
_cell_angle_beta 90.00
_cell_angle_gamma 90.00
loop_
_atom_site_label
_atom_site_fract_x
_atom_site_fract_y
_atom_site_fract_z
Cr1 0.0000 0.0000 0.0000
Cu1 0.0000 0.5000 0.2405
Pt1 0.0000 0.0000 0.5000
```

Values from the calculation:
spin magnetization	0.0005	μB per atom
calculated formation energy	0.89	eV per formula unit

---

No. 3
## CrCu2Pt (GGA-PBEsol)

Data for a relaxed CrCu2Pt crystal.

Cell and atoms, written as CIF:
```
data_CrCu2Pt
_chemical_formula_sum 'Cr3 Cu6 Pt3'
_symmetry_space_group_name_H-M 'R 3 m'
_symmetry_Int_Tables_number 160
_symmetry_space_group_name_Hall 'R 3 -2"'
_cell_length_a 2.6245
_cell_length_b 2.6245
_cell_length_c 25.1516
_cell_angle_alpha 90.00
_cell_angle_beta 90.00
_cell_angle_gamma 120.00
loop_
_atom_site_label
_atom_site_fract_x
_atom_site_fract_y
_atom_site_fract_z
Cr1 0.0000 0.0000 0.0000
Cu1 0.0000 0.0000 0.4946
Cu2 0.0000 0.0000 0.7486
Pt1 0.0000 0.0000 0.2498
```

Values from the calculation:
spin magnetization	0.1531	μB per atom
calculated formation energy	0.40	eV per formula unit

---

No. 4
## CrCuPt2 (GGA-PBEsol)

Data for a relaxed CrCuPt2 crystal.

Cell and atoms, written as CIF:
```
data_CrCuPt2
_chemical_formula_sum 'Cr3 Cu3 Pt6'
_symmetry_space_group_name_H-M 'R 3 m'
_symmetry_Int_Tables_number 160
_symmetry_space_group_name_Hall 'R 3 -2"'
_cell_length_a 2.6688
_cell_length_b 2.6688
_cell_length_c 26.0725
_cell_angle_alpha 90.00
_cell_angle_beta 90.00
_cell_angle_gamma 120.00
loop_
_atom_site_label
_atom_site_fract_x
_atom_site_fract_y
_atom_site_fract_z
Cr1 0.0000 0.0000 0.0000
Cu1 0.0000 0.0000 0.7451
Pt1 0.0000 0.0000 0.2549
Pt2 0.0000 0.0000 0.4945
```

Values from the calculation:
spin magnetization	0.0024	μB per atom
calculated formation energy	0.11	eV per formula unit